! Mg2RhSe | the Alexandria database | PBE-GGA | optimized geometry; values from VASP
&SYSTEM
  ibrav = 0, nat = 8, ntyp = 3
/
ATOMIC_SPECIES
Mg 24.30 Mg.upf
Rh 102.91 Rh.upf
Se 78.96 Se.upf
CELL_PARAMETERS angstrom
4.1877 0.0000 0.0000
0.0000 4.2013 0.0000
0.0000 0.0000 7.8601
ATOMIC_POSITIONS crystal
Mg 0.0000 0.0000 0.2500
Mg 0.0000 0.0000 0.7500
Mg 0.5000 0.5000 0.2500
Mg 0.5000 0.5000 0.7500
Rh 0.0000 0.5000 0.0000
Rh 0.5000 0.0000 0.5000
Se 0.0000 0.5000 0.5000
Se 0.5000 0.0000 0.0000
! Total energy, eV for the cell shown: -30.91

=====

! Mn2TcCl | the Alexandria database | PBE-GGA | optimized geometry; values from VASP
&SYSTEM
  ibrav = 0, nat = 8, ntyp = 3
/
ATOMIC_SPECIES
Mn 54.94 Mn.upf
Tc 98.00 Tc.upf
Cl 35.45 Cl.upf
CELL_PARAMETERS angstrom
3.6048 0.0000 0.0000
0.0000 3.6048 0.0000
0.0000 0.0000 9.5201
ATOMIC_POSITIONS crystal
Mn 0.0000 0.0000 0.0000
Mn 0.0000 0.5000 0.2500
Mn 0.5000 0.0000 0.7500
Mn 0.5000 0.5000 0.5000
Tc 0.0000 0.5000 0.7500
Tc 0.5000 0.0000 0.2500
Cl 0.0000 0.0000 0.5000
Cl 0.5000 0.5000 0.0000
! Distance to the lowest polymorph of the same formula, meV/atom: 677
! Total energy, eV for the cell shown: -55.01

=====

! Sm3CoHg | the Alexandria database | PBE-GGA | optimized geometry; values from VASP
&SYSTEM
  ibrav = 0, nat = 10, ntyp = 3
/
ATOMIC_SPECIES
Sm 150.36 Sm.upf
Co 58.93 Co.upf
Hg 200.59 Hg.upf
CELL_PARAMETERS angstrom
8.1723 -1.8819 0.0000
8.1723 1.8819 0.0000
-6.2601 0.0000 8.7057
ATOMIC_POSITIONS crystal
Sm 0.0869 0.0869 0.4576
Sm 0.3327 0.3327 0.1971
Sm 0.3575 0.3575 0.7877
Sm 0.6425 0.6425 0.2123
Sm 0.6673 0.6673 0.8029
Sm 0.9131 0.9131 0.5424
Co 0.2636 0.2636 0.4486
Co 0.7364 0.7364 0.5514
Hg 0.0657 0.0657 0.9182
Hg 0.9343 0.9343 0.0818
! Distance to the lowest polymorph of the same formula, meV/atom: 0
! Total energy, eV for the cell shown: -45.56
! Formation enthalpy at 0 K, meV per atom: -243

=====

Short version: spin magnetization = 0.000 6.300 0.001 μB per formula unit, in the order given.